Entry 1:
## Pr2Al3PdAu12 (PBE)

Data for a relaxed structure of Pr2Al3PdAu12.

Calculated values
DOS(E_F) (states/eV per atom): 0.48
VASP energy (eV/f.u.): -67.91
Formation enthalpy at 0 K (meV/atom): -145
Magnetization (μB per atom): 0.000
Calculated volume (Å³ per cell): 1254

Unit cell a=8.6778 b=8.6778 c=19.2217 alpha=90.00 beta=90.00 gamma=120.00
Space group R-3m (No. 166, hexagonal axes)
One atom of each set of equivalent atoms:
Pr 0.0000 0.0000 0.1129 (multiplicity 6)
Al 0.0000 0.5000 0.0000 (multiplicity 9)
Pd 0.0000 0.0000 0.5000 (multiplicity 3)
Au 0.0082 0.5041 0.8702 (multiplicity 18)
Au 0.0185 0.5093 0.3681 (multiplicity 18)

***

Entry 2:
## PrAl4PdAu2 (PBE)

Data for a relaxed structure of PrAl4PdAu2.

Calculated values
DOS(E_F) (states/eV per atom): 0.42
VASP energy (eV/f.u.): -36.31
Formation enthalpy at 0 K (meV/atom): -602
Magnetization (μB per atom): 0.000
Calculated volume (Å³ per cell): 450

Unit cell a=4.3759 b=4.3759 c=27.1571 alpha=90.00 beta=90.00 gamma=120.00
Space group R-3m (No. 166, hexagonal axes)
One atom of each set of equivalent atoms:
Pr 0.0000 0.0000 0.0000 (multiplicity 3)
Al 0.0000 0.0000 0.1328 (multiplicity 6)
Al 0.0000 0.0000 0.4044 (multiplicity 6)
Pd 0.0000 0.0000 0.5000 (multiplicity 3)
Au 0.0000 0.0000 0.2435 (multiplicity 6)

***

Entry 3:
## Pr3AlPd9Au2 (PBE)

Data for a relaxed structure of Pr3AlPd9Au2.

Calculated values
DOS(E_F) (states/eV per atom): 0.48
VASP energy (eV/f.u.): -75.58
Formation enthalpy at 0 K (meV/atom): -281
Magnetization (μB per atom): 0.000
Calculated volume (Å³ per cell): 338

Unit cell a=7.9279 b=7.9279 c=6.2156 alpha=90.00 beta=90.00 gamma=120.00
Space group P-3m1 (No. 164)
One atom of each set of equivalent atoms:
Pr 0.0000 0.0000 0.0000 (multiplicity 1)
Pr 0.3333 0.6667 0.6887 (multiplicity 2)
Al 0.0000 0.0000 0.5000 (multiplicity 1)
Pd 0.0000 0.5000 0.0000 (multiplicity 3)
Pd 0.1534 0.3068 0.3296 (multiplicity 6)
Au 0.3333 0.6667 0.2042 (multiplicity 2)

***

Entry 4:
## PrAlPdAu (PBE)

Data for a relaxed structure of PrAlPdAu.

Calculated values
DOS(E_F) (states/eV per atom): 0.83
VASP energy (eV/f.u.): -19.47
Formation enthalpy at 0 K (meV/atom): -619
Magnetization (μB per atom): 0.000
Calculated volume (Å³ per cell): 333

Unit cell a=6.9318 b=6.9318 c=6.9318 alpha=90.00 beta=90.00 gamma=90.00
Space group F-43m (No. 216)
One atom of each set of equivalent atoms:
Pr 0.0000 0.0000 0.0000 (multiplicity 4)
Al 0.0000 0.0000 0.5000 (multiplicity 4)
Pd 0.2500 0.2500 0.7500 (multiplicity 4)
Au 0.2500 0.2500 0.2500 (multiplicity 4)

***

Entry 5:
## PrAl2Pd2Au (PBE)

Data for a relaxed structure of PrAl2Pd2Au.

Calculated values
DOS(E_F) (states/eV per atom): 0.56
VASP energy (eV/f.u.): -28.22
Formation enthalpy at 0 K (meV/atom): -382
Magnetization (μB per atom): 0.000
Calculated volume (Å³ per cell): 129

Unit cell a=4.7319 b=4.7319 c=5.7803 alpha=90.00 beta=90.00 gamma=90.00
Space group P4/mmm (No. 123)
One atom of each set of equivalent atoms:
Pr 0.0000 0.0000 0.0000 (multiplicity 1)
Al 0.0000 0.5000 0.5000 (multiplicity 2)
Pd 0.5000 0.5000 0.2476 (multiplicity 2)
Au 0.0000 0.0000 0.5000 (multiplicity 1)

***

Entry 6:
## PrAlPdAu (PBE)

Data for a relaxed structure of PrAlPdAu.

Calculated values
DOS(E_F) (states/eV per atom): 0.36
VASP energy (eV/f.u.): -19.72
Formation enthalpy at 0 K (meV/atom): -681
Magnetization (μB per atom): 0.000
Calculated volume (Å³ per cell): 265

Unit cell a=4.3835 b=4.3835 c=15.9342 alpha=90.00 beta=90.00 gamma=120.00
Space group R3m (No. 160, hexagonal axes)
One atom of each set of equivalent atoms:
Pr 0.0000 0.0000 0.0000 (multiplicity 3)
Al 0.0000 0.0000 0.1989 (multiplicity 3)
Pd 0.0000 0.0000 0.5521 (multiplicity 3)
Au 0.0000 0.0000 0.7949 (multiplicity 3)

***

Entry 7:
## Pr2Al3Pd4Au (PBE)

Data for a relaxed structure of Pr2Al3Pd4Au.

Calculated values
DOS(E_F) (states/eV per atom): 0.50
VASP energy (eV/f.u.): -52.70
Formation enthalpy at 0 K (meV/atom): -786
Magnetization (μB per atom): 0.000
Calculated volume (Å³ per cell): 200

Unit cell a=4.3353 b=4.3353 c=10.6421 alpha=90.00 beta=90.00 gamma=90.00
Space group P-4m2 (No. 115)
One atom of each set of equivalent atoms:
Pr 0.0000 0.5000 0.2482 (multiplicity 2)
Al 0.0000 0.0000 0.0000 (multiplicity 1)
Al 0.0000 0.5000 0.6177 (multiplicity 2)
Pd 0.0000 0.0000 0.5000 (multiplicity 1)
Pd 0.0000 0.5000 0.8479 (multiplicity 2)
Pd 0.5000 0.5000 0.5000 (multiplicity 1)
Au 0.5000 0.5000 0.0000 (multiplicity 1)

***

Entry 8:
## Pr2AlPd6Au (PBE)

Data for a relaxed structure of Pr2AlPd6Au.

Calculated values
DOS(E_F) (states/eV per atom): 0.49
VASP energy (eV/f.u.): -53.54
Formation enthalpy at 0 K (meV/atom): -580
Magnetization (μB per atom): 0.000
Calculated volume (Å³ per cell): 1250

Unit cell a=6.4927 b=6.4927 c=34.2461 alpha=90.00 beta=90.00 gamma=120.00
Space group R-3m (No. 166, hexagonal axes)
One atom of each set of equivalent atoms:
Pr 0.0000 0.0000 0.1173 (multiplicity 6)
Pr 0.0000 0.0000 0.2839 (multiplicity 6)
Al 0.0000 0.0000 0.0000 (multiplicity 3)
Al 0.0000 0.0000 0.5000 (multiplicity 3)
Pd 0.0494 0.5247 0.3044 (multiplicity 18)
Pd 0.0625 0.5312 0.8637 (multiplicity 18)
Au 0.0000 0.0000 0.4251 (multiplicity 6)

***

Entry 9:
## Pu2Al3PdAu12 (PBE)

Data for a relaxed structure of Pu2Al3PdAu12.

Calculated values
DOS(E_F) (states/eV per atom): 1.69
VASP energy (eV/f.u.): -86.27
Formation enthalpy at 0 K (meV/atom): -103
Magnetization (μB per atom): 0.629
Calculated volume (Å³ per cell): 1102

Unit cell a=9.7630 b=9.7630 c=13.3463 alpha=90.00 beta=90.00 gamma=120.00
Space group R-3m (No. 166, hexagonal axes)
One atom of each set of equivalent atoms:
Pu 0.0000 0.0000 0.1327 (multiplicity 6)
Al 0.0000 0.5000 0.0000 (multiplicity 9)
Pd 0.0000 0.0000 0.5000 (multiplicity 3)
Au 0.0086 0.5043 0.1910 (multiplicity 18)
Au 0.0382 0.5191 0.3948 (multiplicity 18)

***

Entry 10:
## Pu3AlPd3Au2 (PBE)

Data for a relaxed structure of Pu3AlPd3Au2.

Calculated values
DOS(E_F) (states/eV per atom): 4.18
VASP energy (eV/f.u.): -73.32
Formation enthalpy at 0 K (meV/atom): -495
Magnetization (μB per atom): 1.876
Calculated volume (Å³ per cell): 189

Unit cell a=7.3969 b=7.3969 c=3.9872 alpha=90.00 beta=90.00 gamma=120.00
Space group P-62m (No. 189)
One atom of each set of equivalent atoms:
Pu 0.0000 0.4168 0.0000 (multiplicity 3)
Al 0.0000 0.0000 0.0000 (multiplicity 1)
Pd 0.0000 0.7719 0.5000 (multiplicity 3)
Au 0.3333 0.6667 0.5000 (multiplicity 2)

***

Entry 11:
## PuAl4Pd2Au (PBE)

Data for a relaxed structure of PuAl4Pd2Au.

Calculated values
DOS(E_F) (states/eV per atom): 1.62
VASP energy (eV/f.u.): -46.99
Formation enthalpy at 0 K (meV/atom): -503
Magnetization (μB per atom): 0.698
Calculated volume (Å³ per cell): 434

Unit cell a=4.3001 b=4.3001 c=27.0952 alpha=90.00 beta=90.00 gamma=120.00
Space group R-3m (No. 166, hexagonal axes)
One atom of each set of equivalent atoms:
Pu 0.0000 0.0000 0.0000 (multiplicity 3)
Al 0.0000 0.0000 0.1260 (multiplicity 6)
Al 0.0000 0.0000 0.4010 (multiplicity 6)
Pd 0.0000 0.0000 0.2433 (multiplicity 6)
Au 0.0000 0.0000 0.5000 (multiplicity 3)

***

Entry 12:
## Pu2Al4PdAu3 (PBE)

Data for a relaxed structure of Pu2Al4PdAu3.

Calculated values
DOS(E_F) (states/eV per atom): 2.84
VASP energy (eV/f.u.): -64.12
Formation enthalpy at 0 K (meV/atom): -547
Magnetization (μB per atom): 1.132
Calculated volume (Å³ per cell): 199

Unit cell a=4.3329 b=4.3329 c=10.6101 alpha=90.00 beta=90.00 gamma=90.00
Space group P-4m2 (No. 115)
One atom of each set of equivalent atoms:
Pu 0.0000 0.5000 0.2480 (multiplicity 2)
Al 0.0000 0.0000 0.5000 (multiplicity 1)
Al 0.0000 0.5000 0.8723 (multiplicity 2)
Al 0.5000 0.5000 0.5000 (multiplicity 1)
Pd 0.5000 0.5000 0.0000 (multiplicity 1)
Au 0.0000 0.0000 0.0000 (multiplicity 1)
Au 0.0000 0.5000 0.6354 (multiplicity 2)